(1)
Computed, not measured: ZrBePt2 at its PBEsol-relaxed geometry at the meta-GGA SCAN level of DFT.

Output
Electronic total energy ... -44.6854 eV per atom

```
ZrBePt2
1.0
3.9779 0.0000 0.0000
0.0000 3.9779 0.0000
0.0000 0.0000 3.8126
Zr Be Pt
1 1 2
direct
0.0000 0.0000 0.0000 Zr
0.5000 0.5000 0.0000 Be
0.0000 0.5000 0.5000 Pt
0.5000 0.0000 0.5000 Pt
```



(2)
Computed, not measured: ZrBePt2 at its PBEsol-relaxed geometry at the meta-GGA SCAN level of DFT.

Output
Electronic total energy ... -44.9114 eV per atom

```
ZrBePt2
1.0
2.8511 0.0000 0.0000
0.0000 2.8511 0.0000
0.0000 0.0000 7.0057
Zr Be Pt
1 1 2
direct
0.0000 0.0000 0.0000 Zr
0.0000 0.0000 0.5000 Be
0.5000 0.5000 0.2976 Pt
0.5000 0.5000 0.7024 Pt
```



(3)
Computed, not measured: Zr2BePt at its PBEsol-relaxed geometry at the meta-GGA SCAN level of DFT.

Output
Electronic total energy ... -34.6183 eV per atom

```
Zr2BePt
1.0
4.3264 0.0000 0.0000
0.0000 4.3264 0.0000
0.0000 0.0000 3.6231
Zr Be Pt
2 1 1
direct
0.0000 0.5000 0.0000 Zr
0.5000 0.0000 0.0000 Zr
0.0000 0.0000 0.5000 Be
0.5000 0.5000 0.5000 Pt
```



(4)
Computed, not measured: Zr2BePt at its PBEsol-relaxed geometry at the meta-GGA SCAN level of DFT.

Output
Electronic total energy ... -34.6170 eV per atom

```
Zr2BePt
1.0
3.2609 0.0000 0.0000
0.0000 4.3336 0.0000
0.0000 0.0000 9.7284
Zr Be Pt
4 2 2
direct
0.0000 0.0000 0.0000 Zr
0.0000 0.5000 0.2320 Zr
0.5000 0.0000 0.7320 Zr
0.5000 0.5000 0.5000 Zr
0.0000 0.5000 0.7926 Be
0.5000 0.0000 0.2926 Be
0.0000 0.0000 0.4690 Pt
0.5000 0.5000 0.9690 Pt
```



(5)
Computed, not measured: ZrBePt at its PBEsol-relaxed geometry at the meta-GGA SCAN level of DFT.

Output
Electronic total energy ... -36.0204 eV per atom

```
ZrBePt
1.0
4.0990 0.0000 0.0000
-2.0495 3.5498 0.0000
0.0000 0.0000 3.1524
Zr Be Pt
1 1 1
direct
0.0000 0.0000 0.0000 Zr
0.6667 0.3333 0.5000 Be
0.3333 0.6667 0.5000 Pt
```



(6)
Computed, not measured: ZrBePt2 at its PBEsol-relaxed geometry at the meta-GGA SCAN level of DFT.

Output
Electronic total energy ... -44.7337 eV per atom

```
ZrBePt2
1.0
3.8445 0.0000 0.0000
0.0000 3.8445 0.0000
0.0000 0.0000 8.1630
Zr Be Pt
2 2 4
direct
0.0000 0.0000 0.0000 Zr
0.5000 0.5000 0.5000 Zr
0.0000 0.5000 0.2500 Be
0.5000 0.0000 0.7500 Be
0.0000 0.0000 0.5000 Pt
0.0000 0.5000 0.7500 Pt
0.5000 0.0000 0.2500 Pt
0.5000 0.5000 0.0000 Pt
```



- Among the records above, which one has the highest electronic total energy?
  number 4